(1)
Na3FeRh: relaxed, PBE.

abc: 5.3155 5.3155 5.3155
angles: 90.00 90.00 90.00
Positions (direct):
Na  0.5000  0.0000  0.0000
Na  0.0000  0.5000  0.0000
Na  0.0000  0.0000  0.5000
Fe  0.5000  0.5000  0.5000
Rh  0.0000  0.0000  0.0000

Output
The calculation puts the density of states at the Fermi level at 2.44 states/eV/atom. As for the symmetry: Pm-3m (221). As for the excess energy over the best structure of this formula in the dataset: 0.000 eV per atom.

(2)
TmInNi: relaxed, PBE.

abc: 4.1742 6.0840 5.0351
angles: 78.86 90.00 90.00
Positions (direct):
Tm  0.7500  0.7689  0.9030
Tm  0.2500  0.2311  0.0970
Ni  0.2500  0.0314  0.6324
Ni  0.7500  0.9686  0.3676
In  0.7500  0.3204  0.6089
In  0.2500  0.6796  0.3911

Output
The calculation puts the density of states at the Fermi level at 0.67 states/eV/atom. As for the symmetry: P2_1/m (11).

(3)
Nd5PaN6: relaxed, PBE.

abc: 6.2669 6.2787 6.2730
angles: 59.97 80.36 70.45
Positions (direct):
N  0.7649  0.0784  0.3080
N  0.2362  0.2301  0.0000
N  0.7638  0.7699  0.0000
N  0.2351  0.6136  0.3080
N  0.7649  0.3864  0.6920
N  0.2351  0.9216  0.6920
Pa  0.0000  0.0000  0.0000
Nd  0.5000  0.1667  0.6666
Nd  0.5000  0.8333  0.3334
Nd  0.5000  0.5000  0.0000
Nd  0.0000  0.3335  0.3330
Nd  0.0000  0.6665  0.6670

Output
The calculation puts the density of states at the Fermi level at 0.29 states/eV/atom. As for the symmetry: C2/m (12). Its formation energy (no corrections) is -1723 kJ/mol of formula units.

(4)
Zr2MnBeH: relaxed, PBE.

abc: 4.4858 4.4858 3.3598
angles: 90.00 90.00 90.00
Positions (direct):
Zr  0.0000  0.5000  0.0000
Zr  0.5000  0.0000  0.0000
Be  0.5000  0.5000  0.5000
H  0.0000  0.0000  0.0000
Mn  0.0000  0.0000  0.5000

Output
The calculation puts the density of states at the Fermi level at 0.48 states/eV/atom. As for the symmetry: P4/mmm (123).

(5)
Ac2TaCoS6: relaxed, PBE.

abc: 6.6761 6.9664 9.3662
angles: 90.00 90.00 90.00
Positions (direct):
Co  0.0000  0.7425  0.5000
Co  0.5000  0.2575  0.0000
S  0.0000  0.7747  0.2527
S  0.2391  0.5104  0.5000
S  0.0000  0.7747  0.7473
S  0.7391  0.4896  0.0000
S  0.5000  0.2253  0.7527
S  0.2503  0.0033  0.5000
S  0.5000  0.2253  0.2473
S  0.2497  0.9967  0.0000
S  0.2609  0.4896  0.0000
S  0.7609  0.5104  0.5000
S  0.7497  0.0033  0.5000
S  0.7503  0.9967  0.0000
Ac  0.5000  0.7985  0.2527
Ac  0.5000  0.7985  0.7473
Ac  0.0000  0.2015  0.7527
Ac  0.0000  0.2015  0.2473
Ta  0.0000  0.7070  0.0000
Ta  0.5000  0.2930  0.5000

Output
The calculation puts the density of states at the Fermi level at 0.05 states/eV/atom. As for the symmetry: Pmmn (59). Its formation energy (no corrections) is -1247 kJ/mol of formula units.

(6)
Ge3Rh2Se3: relaxed, PBE.

abc: 8.6586 8.6586 8.6586
angles: 89.84 89.84 89.84
Positions (direct):
Se  0.6472  0.9997  0.1431
Se  0.9997  0.1431  0.6472
Se  0.0003  0.8569  0.3528
Se  0.1470  0.4968  0.3575
Se  0.8530  0.5032  0.6425
Se  0.3575  0.1470  0.4968
Se  0.6425  0.8530  0.5032
Se  0.5032  0.6425  0.8530
Se  0.1431  0.6472  0.9997
Se  0.8569  0.3528  0.0003
Se  0.4968  0.3575  0.1470
Se  0.3528  0.0003  0.8569
Ge  0.8484  0.6652  0.0020
Ge  0.3348  0.9980  0.1516
Ge  0.8354  0.4981  0.3479
Ge  0.1516  0.3348  0.9980
Ge  0.1646  0.5019  0.6521
Ge  0.6652  0.0020  0.8484
Ge  0.0020  0.8484  0.6652
Ge  0.3479  0.8354  0.4981
Ge  0.9980  0.1516  0.3348
Ge  0.4981  0.3479  0.8354
Ge  0.5019  0.6521  0.1646
Ge  0.6521  0.1646  0.5019
Rh  0.2505  0.7517  0.7469
Rh  0.7520  0.7520  0.7520
Rh  0.7469  0.2505  0.7517
Rh  0.7495  0.2483  0.2531
Rh  0.7517  0.7469  0.2505
Rh  0.2480  0.2480  0.2480
Rh  0.2531  0.7495  0.2483
Rh  0.2483  0.2531  0.7495

Output
As for the symmetry: R-3 (148). Its formation energy (no corrections) is -395 kJ/mol of formula units.

(7)
LaReW: relaxed, PBE.

abc: 4.4113 4.4113 7.3029
angles: 90.00 90.00 90.00
Positions (direct):
La  0.5000  0.0000  0.1571
La  0.0000  0.5000  0.8429
Re  0.5000  0.0000  0.6810
Re  0.0000  0.5000  0.3190
W  0.5000  0.5000  0.5000
W  0.0000  0.0000  0.5000

Output
The calculation puts the density of states at the Fermi level at 1.46 states/eV/atom. As for the symmetry: P4/nmm (129). As for the excess energy over the best structure of this formula in the dataset: 0.000 eV per atom.

(8)
BaLiTi2Co: relaxed, PBE.

abc: 4.9786 4.5788 4.9786
angles: 90.00 90.00 90.00
Positions (direct):
Ba  0.0000  0.0000  0.0000
Li  0.0000  0.5000  0.0000
Ti  0.0000  0.0000  0.5000
Ti  0.5000  0.0000  0.0000
Co  0.5000  0.5000  0.5000

Output
The calculation puts the density of states at the Fermi level at 1.66 states/eV/atom. As for the symmetry: P4/mmm (123).

Results for energy: -13.96, -28.37, -101.15, -34.02, -129.72, -172.39, -59.43, -16.53 (in eV per cell, following the order of the records).